# SiI3O

A geometry-optimized SiI3O structure (PBE, the Alexandria database).

a = 5.097 Å, b = 5.097 Å, c = 5.097 Å
α = 90.00°, β = 90.00°, γ = 90.00°
Atoms (fractional coordinates):
I: 0.000 0.500 0.000
I: 0.000 0.000 0.500
I: 0.500 0.000 0.000
O: 0.000 0.000 0.000
Si: 0.500 0.500 0.500

Its crystal system is cubic. The calculation puts the energy above the most stable polymorph in this dataset at 0 meV per atom. The value obtained for the total magnetization is 0.000 μB per atom. The uncorrected formation energy comes out at 0.7169 eV per atom. The energy is -11.447 eV per cell.

=====

# SiI2O2

A geometry-optimized SiI2O2 structure (PBE, the Alexandria database).

a = 5.501 Å, b = 5.501 Å, c = 3.359 Å
α = 90.00°, β = 90.00°, γ = 90.00°
Last column: magnetic moment on the atom in μB.
Atoms (fractional coordinates):
Si: 0.000 0.000 0.000  0.00
O: 0.500 0.500 0.500  -0.05
O: 0.000 0.000 0.500  -0.01
I: 0.000 0.500 0.000  -0.08
I: 0.500 0.000 0.000  -0.08

Its crystal system is tetragonal. The calculation puts the energy above the most stable polymorph in this dataset at 178 meV per atom. The value obtained for the total magnetization is 0.052 μB per atom. The uncorrected formation energy comes out at 0.1172 eV per atom. The energy is -17.854 eV per cell.

=====

# SiI2O2

A geometry-optimized SiI2O2 structure (PBE, the Alexandria database).

a = 4.854 Å, b = 4.854 Å, c = 4.033 Å
α = 90.00°, β = 90.00°, γ = 90.00°
Last column: magnetic moment on the atom in μB.
Atoms (fractional coordinates):
Si: 0.500 0.500 0.500  -0.01
I: 0.000 0.500 0.000  0.01
I: 0.500 0.000 0.000  0.01
O: 0.000 0.000 0.000  -0.01
O: 0.000 0.000 0.500  0.16

Its crystal system is tetragonal. The calculation puts the energy above the most stable polymorph in this dataset at 910 meV per atom. The value obtained for the total magnetization is 0.036 μB per atom. The uncorrected formation energy comes out at 0.8490 eV per atom. The energy is -14.195 eV per cell.